The following is a PBE with a Hubbard U calculation of an optimized crystal structure of BaMnZnO4, from the Alexandria database.

Energy ... -6.018 eV/atom

Structure (CIF):
```
data_BaMnZnO4
_symmetry_space_group_name_H-M 'I -4'
_symmetry_Int_Tables_number 82
_cell_length_a 5.790
_cell_length_b 5.790
_cell_length_c 7.242
_cell_angle_alpha 90.00
_cell_angle_beta 90.00
_cell_angle_gamma 90.00
loop_
_symmetry_equiv_pos_as_xyz
'x,y,z'
'y,-x,-z'
'-x,-y,z'
'-y,x,-z'
'x+1/2,y+1/2,z+1/2'
'y+1/2,-x+1/2,-z+1/2'
'-x+1/2,-y+1/2,z+1/2'
'-y+1/2,x+1/2,-z+1/2'
loop_
_atom_site_label
_atom_site_type_symbol
_atom_site_fract_x
_atom_site_fract_y
_atom_site_fract_z
_atom_site_occupancy
Ba1 Ba 0.000 0.000 0.000 1
Mn1 Mn 0.000 0.500 0.750 1
Zn1 Zn 0.000 0.000 0.500 1
O1 O 0.142 0.248 0.649 1
```